# 1
The following is a PBE calculation of a relaxed SmGa4Rh crystal, from Alexandria.

Properties
DFT total energy = -26.727 eV/cell
formation energy from the elements = -425 meV per atom

abc: 4.2209 4.2209 7.2829
angles: 90.00 90.00 90.65
Closest atoms and distances in Å follow each position.
Element x y z (fractional)
Sm: 0.0000 0.0000 0.0000  8 Ga 3.05
Ga: 0.0000 0.5000 0.3032  2 Rh 2.55
Ga: 0.0000 0.5000 0.6968  2 Rh 2.55
Ga: 0.5000 0.0000 0.3032  2 Rh 2.55
Ga: 0.5000 0.0000 0.6968  2 Rh 2.55
Rh: 0.0000 0.0000 0.5000  8 Ga 2.55

# 2
The following is a PBE calculation of a relaxed TbNd2Hg crystal, from Alexandria.

Properties
DFT total energy = -15.006 eV/cell
formation energy from the elements = -135 meV per atom

abc: 11.0142 11.0142 11.0142
angles: 19.40 19.40 19.40
Closest atoms and distances in Å follow each position.
Element x y z (fractional)
Tb: 0.0000 0.0000 0.0000  6 Nd 3.60-3.62, 6 Tb 3.71
Nd: 0.2435 0.2435 0.2435  3 Hg 3.29, 3 Tb 3.62
Nd: 0.4227 0.4227 0.4227  3 Hg 3.29, 3 Tb 3.60
Hg: 0.8330 0.8330 0.8330  6 Nd 3.29

# 3
The following is a PBE calculation of a relaxed Hf2ThTaC4 crystal, from Alexandria.

Properties
DFT total energy = -158.644 eV/cell
formation energy from the elements = -406 meV per atom

abc: 6.1547 6.1547 11.7902
angles: 90.00 90.00 147.94
Closest atoms and distances in Å follow each position.
Element x y z (fractional)
Hf: 0.1303 0.8697 0.5344  5 C 2.21-2.45
Hf: 0.1303 0.8697 0.9656  5 C 2.21-2.45
Hf: 0.8697 0.1303 0.0344  5 C 2.21-2.45
Hf: 0.8697 0.1303 0.4656  5 C 2.21-2.45
Th: 0.3816 0.6184 0.7500  6 C 2.58-2.76
Th: 0.6184 0.3816 0.2500  6 C 2.58-2.76
Ta: 0.3520 0.6480 0.2500  4 C 2.05-2.09
Ta: 0.6480 0.3520 0.7500  4 C 2.05-2.09
C: 0.0458 0.9542 0.7500  2 Ta 2.09
C: 0.2433 0.7567 0.1149  1 Ta 2.05, 1 Hf 2.21
C: 0.2433 0.7567 0.3851  1 Ta 2.05, 1 Hf 2.21
C: 0.5000 0.5000 0.0000  4 Hf 2.33
C: 0.5000 0.5000 0.5000  4 Hf 2.33
C: 0.7567 0.2433 0.6149  1 Ta 2.05, 1 Hf 2.21
C: 0.7567 0.2433 0.8851  1 Ta 2.05, 1 Hf 2.21
C: 0.9542 0.0458 0.2500  2 Ta 2.09

# 4
The following is a PBE calculation of a relaxed LiTmHg3 crystal, from Alexandria.

Properties
DFT total energy = -18.204 eV/cell
formation energy from the elements = -362 meV per atom

abc: 5.1175 5.1466 8.8279
angles: 89.94 73.47 90.00
Closest atoms and distances in Å follow each position.
Element x y z (fractional)
Li: 0.1482 0.2501 0.2045  8 Hg 3.00-3.13
Li: 0.8518 0.7499 0.7955  8 Hg 3.00-3.13
Tm: 0.3513 0.2495 0.8002  8 Hg 3.04-3.10
Tm: 0.6487 0.7505 0.1998  8 Hg 3.04-3.10
Hg: 0.0524 0.7502 0.3939  2 Li 3.03, 2 Tm 3.04-3.05, 5 Hg 3.12-3.38
Hg: 0.2504 0.7491 0.9947  4 Li 3.05-3.13, 4 Tm 3.05-3.10, 2 Hg 3.29-3.38
Hg: 0.4492 0.7497 0.6059  2 Li 3.00-3.04, 2 Tm 3.05, 5 Hg 3.12-3.29
Hg: 0.5508 0.2503 0.3941  2 Li 3.00-3.04, 2 Tm 3.05, 5 Hg 3.12-3.29
Hg: 0.7496 0.2509 0.0053  4 Li 3.05-3.13, 4 Tm 3.05-3.10, 2 Hg 3.29-3.38
Hg: 0.9476 0.2498 0.6061  2 Li 3.03, 2 Tm 3.04-3.05, 5 Hg 3.12-3.38

# 5
The following is a PBE calculation of a relaxed PuHfTcOs crystal, from Alexandria.

Properties
DFT total energy = -46.854 eV/cell
formation energy from the elements = -243 meV per atom

abc: 4.6869 4.6869 4.6869
angles: 60.00 60.00 60.00
Closest atoms and distances in Å follow each position.
Element x y z (fractional)
Pu: 0.0000 0.0000 0.0000  4 Tc 2.87, 4 Os 2.87
Hf: 0.5000 0.5000 0.5000  4 Tc 2.87, 4 Os 2.87
Tc: 0.7500 0.7500 0.7500  4 Pu 2.87, 4 Hf 2.87
Os: 0.2500 0.2500 0.2500  4 Hf 2.87, 4 Pu 2.87

# 6
The following is a PBE calculation of a relaxed CdHPb2Au crystal, from Alexandria.

Properties
DFT total energy = -14.410 eV/cell

abc: 5.8473 5.8473 3.4468
angles: 90.00 90.00 90.00
Closest atoms and distances in Å follow each position.
Element x y z (fractional)
Cd: 0.0000 0.0000 0.0000  8 Pb 3.39, 2 Cd 3.45
H: 0.5000 0.5000 0.0000  2 Au 1.72
Pb: 0.0000 0.5000 0.5000  2 Au 2.92
Pb: 0.5000 0.0000 0.5000  2 Au 2.92
Au: 0.5000 0.5000 0.5000  2 H 1.72